P.
Compound: TaNiTe2
Source: Alexandria via LeMat-Bulk
Functional: SCAN
Structure: single point on PBEsol structure

- Space group: No. 225
- Volume: 18.809 A^3/atom
- Spin magnetization: 0.00 μB per atom

abc: 4.7386 4.7386 4.7386
angles: 60.00 60.00 60.00
Atoms (fractional coordinates):
Ni 0.5000 0.5000 0.5000
Ta 0.0000 0.0000 0.0000
Te 0.7500 0.7500 0.7500
Te 0.2500 0.2500 0.2500


Q.
Compound: TaNiTe2
Source: Alexandria via LeMat-Bulk
Functional: SCAN
Structure: single point on PBEsol structure

- Space group: No. 53
- Volume: 22.032 A^3/atom
- Spin magnetization: 0.00 μB per atom

abc: 6.1622 7.2705 7.8683
angles: 90.00 90.00 90.00
Atoms (fractional coordinates):
Ta 0.5000 0.0000 0.7932
Ta 0.0000 0.0000 0.7068
Ta 0.0000 0.0000 0.2932
Ta 0.5000 0.0000 0.2068
Ni 0.1456 0.1180 0.0000
Ni 0.3544 0.1180 0.5000
Ni 0.6456 0.8820 0.5000
Ni 0.8544 0.8820 0.0000
Te 0.7489 0.2262 0.0000
Te 0.2500 0.3213 0.2500
Te 0.2489 0.7738 0.5000
Te 0.2511 0.7738 0.0000
Te 0.7500 0.6787 0.2500
Te 0.7500 0.6787 0.7500
Te 0.2500 0.3213 0.7500
Te 0.7511 0.2262 0.5000


Which of them is the most stable? Correct choice: Q.


P.
Compound: TaNiTe2
Source: Alexandria via LeMat-Bulk
Functional: SCAN
Structure: single point on PBEsol structure

- Space group: No. 99
- Volume: 21.311 A^3/atom
- Spin magnetization: 0.00 μB per atom

abc: 3.4857 3.4857 7.0160
angles: 90.00 90.00 90.00
Atoms (fractional coordinates):
Ni 0.0000 0.0000 0.5236
Ta 0.5000 0.5000 0.7196
Te 0.0000 0.0000 0.9096
Te 0.5000 0.5000 0.3471


Q.
Compound: TaNiTe2
Source: Alexandria via LeMat-Bulk
Functional: SCAN
Structure: single point on PBEsol structure

- Space group: No. 156
- Volume: 23.177 A^3/atom
- Spin magnetization: 0.00 μB per atom

abc: 3.9531 3.9528 6.8509
angles: 90.01 90.00 120.00
Atoms (fractional coordinates):
Ni 0.3750 0.7501 0.7172
Te 0.0417 0.0834 0.8752
Te 0.3749 0.7498 0.3299
Ta 0.7084 0.4167 0.5777


Which of them is the most stable? Correct choice: Q.


P.
Compound: Ta2TlNi
Source: Alexandria via LeMat-Bulk
Functional: SCAN
Structure: single point on PBEsol structure

- Space group: No. 71
- Volume: 16.587 A^3/atom
- Spin magnetization: 0.00 μB per atom

abc: 3.5378 4.2477 5.2090
angles: 114.06 109.85 90.00
Atoms (fractional coordinates):
Ni 0.5000 0.0000 0.0000
Ta 0.7634 0.7634 0.5268
Ta 0.2366 0.2366 0.4732
Tl 0.0000 0.5000 0.0000


Q.
Compound: Ta2TlNi
Source: Alexandria via LeMat-Bulk
Functional: SCAN
Structure: single point on PBEsol structure

- Space group: No. 99
- Volume: 17.034 A^3/atom
- Spin magnetization: 0.00 μB per atom

abc: 3.3394 3.3394 6.1103
angles: 90.00 90.00 90.00
Atoms (fractional coordinates):
Ni 0.5000 0.5000 0.7649
Ta 0.0000 0.0000 0.9899
Ta 0.5000 0.5000 0.2257
Tl 0.0000 0.0000 0.5194


Which of them is the most stable? Correct choice: P.


P.
Compound: Zr2TaNi
Source: Alexandria via LeMat-Bulk
Functional: SCAN
Structure: single point on PBEsol structure

- Space group: No. 99
- Volume: 18.046 A^3/atom
- Spin magnetization: 0.00 μB per atom

abc: 3.0646 3.0646 7.6857
angles: 90.00 90.00 90.00
Atoms (fractional coordinates):
Ni 0.0000 0.0000 0.5284
Ta 0.5000 0.5000 0.7070
Zr 0.0000 0.0000 0.9781
Zr 0.5000 0.5000 0.2865


Q.
Compound: Zr2TaNi
Source: Alexandria via LeMat-Bulk
Functional: SCAN
Structure: single point on PBEsol structure

- Space group: No. 166
- Volume: 18.249 A^3/atom
- Spin magnetization: 0.00 μB per atom

abc: 3.0968 3.0968 8.9692
angles: 80.06 80.06 60.00
Atoms (fractional coordinates):
Ni 0.5000 0.5000 0.5000
Ta 0.0000 0.0000 0.0000
Zr 0.2419 0.2419 0.2742
Zr 0.7581 0.7581 0.7258


R.
Compound: Zr2TaNi
Source: Alexandria via LeMat-Bulk
Functional: SCAN
Structure: single point on PBEsol structure

- Space group: No. 44
- Volume: 17.804 A^3/atom
- Spin magnetization: 0.00 μB per atom

abc: 3.3333 4.5737 5.4616
angles: 114.75 107.77 90.00
Atoms (fractional coordinates):
Ni 0.5102 0.5102 0.0204
Ta 0.2290 0.7290 0.4580
Zr 0.9956 0.9956 0.9912
Zr 0.7653 0.2653 0.5305


Which of them is the most stable? Correct choice: P.


P.
Compound: Tc5Ni
Source: Alexandria via LeMat-Bulk
Functional: SCAN
Structure: single point on PBEsol structure

- Space group: No. 8
- Volume: 13.386 A^3/atom
- Spin magnetization: 0.00 μB per atom

abc: 2.7067 5.0413 6.3017
angles: 103.63 90.00 105.57
Atoms (fractional coordinates):
Ni 0.9991 0.9982 0.0004
Tc 0.6650 0.3300 0.3313
Tc 0.3378 0.6756 0.6680
Tc 0.3912 0.7824 0.2724
Tc 0.0547 0.1094 0.6145
Tc 0.7188 0.4376 0.9467


Q.
Compound: Tc5Ni
Source: Alexandria via LeMat-Bulk
Functional: SCAN
Structure: single point on PBEsol structure

- Space group: No. 38
- Volume: 13.386 A^3/atom
- Spin magnetization: 0.00 μB per atom

abc: 2.7002 4.2575 7.1155
angles: 90.00 100.94 90.00
Atoms (fractional coordinates):
Ni 0.0021 0.0000 0.0043
Tc 0.2236 0.5000 0.4472
Tc 0.3349 0.0000 0.6698
Tc 0.5530 0.5000 0.1060
Tc 0.6620 0.0000 0.3240
Tc 0.8911 0.5000 0.7822


R.
Compound: Tc5Ni
Source: Alexandria via LeMat-Bulk
Functional: SCAN
Structure: single point on PBEsol structure

- Space group: No. 189
- Volume: 13.339 A^3/atom
- Spin magnetization: 0.00 μB per atom

abc: 4.2562 4.6598 4.6598
angles: 120.00 90.00 90.00
Atoms (fractional coordinates):
Ni 0.5000 0.0000 0.0000
Tc 0.0000 0.3254 0.3254
Tc 0.0000 0.6746 0.0000
Tc 0.0000 0.0000 0.6746
Tc 0.5000 0.3333 0.6667
Tc 0.5000 0.6667 0.3333


Which of them is the most stable? Correct choice: R.


P.
Compound: TcNi
Source: Alexandria via LeMat-Bulk
Functional: SCAN
Structure: single point on PBEsol structure

- Space group: No. 51
- Volume: 12.070 A^3/atom
- Spin magnetization: 0.00 μB per atom

abc: 2.5735 4.1596 4.5101
angles: 90.00 90.00 90.00
Atoms (fractional coordinates):
Ni 0.0000 0.2500 0.3486
Ni 0.0000 0.7500 0.6514
Tc 0.5000 0.7500 0.1642
Tc 0.5000 0.2500 0.8358


Q.
Compound: TcNi
Source: Alexandria via LeMat-Bulk
Functional: SCAN
Structure: single point on PBEsol structure

- Space group: No. 194
- Volume: 13.615 A^3/atom
- Spin magnetization: 0.71 μB per atom

abc: 3.7142 3.7142 4.5582
angles: 90.00 90.00 120.00
Atoms (fractional coordinates):
Ni 0.0000 0.0000 0.0000
Ni 0.0000 0.0000 0.5000
Tc 0.6667 0.3333 0.7500
Tc 0.3333 0.6667 0.2500


Which of them is the most stable? Correct choice: P.